DFT (PBE-GGA) results for a geometry-optimized CdN4Cl6 structure.

As for the magnetic moment: 24.00 μB per cell. The energy relative to the elements, uncorrected comes out at 900 meV/atom. As for the calculated volume: 2264.8 Å³/cell. The total energy is -212.35 eV/cell.

Lattice parameters (Å, degrees): 18.1774 18.1774 7.9149 90.00 90.00 120.00
Space group R-3c (No. 167, hexagonal axes)
Inequivalent atoms, fractional coordinates:
Cd 0.0000 0.0000 0.0000 (multiplicity 6)
N 0.0000 0.0000 0.2500 (multiplicity 6)
N 0.0000 0.2584 0.2500 (multiplicity 18)
Cl 0.0521 0.2316 0.3951 (multiplicity 36)

=====

DFT (PBE-GGA) results for a geometry-optimized SrCr2Ag structure.

Its formation energy is 0.443 eV/atom. As for the magnetic moment: 0.18 μB per cell. The calculation puts the energy above the most stable polymorph in this dataset at 26 meV per atom. As for the calculated volume: 83.6 Å³/cell. The total energy is -22.01 eV/cell.

Lattice parameters (Å, degrees): 3.309 3.309 7.637 90.00 90.00 90.00
Space group P4mm (No. 99)
Inequivalent atoms, fractional coordinates:
Sr 0.000 0.000 0.000 (multiplicity 1)
Cr 0.000 0.000 0.546 (multiplicity 1)
Cr 0.500 0.500 0.677 (multiplicity 1)
Ag 0.500 0.500 0.311 (multiplicity 1)

=====

DFT (PBE-GGA) results for a geometry-optimized KFe2Ir structure.

Its formation energy is 0.583 eV/atom. As for the magnetic moment: 12.09 μB per cell. The calculation puts the energy above the most stable polymorph in this dataset at 54 meV per atom. As for the calculated volume: 164.3 Å³/cell. The total energy is -49.10 eV/cell.

Lattice parameters (Å, degrees): 8.870 2.830 6.576 90.00 95.43 90.00
Space group C2/m (No. 12)
Inequivalent atoms, fractional coordinates:
K 0.000 0.000 0.000 (multiplicity 2)
Fe 0.229 0.000 0.629 (multiplicity 4)
Ir 0.000 0.500 0.500 (multiplicity 2)

=====

DFT (PBE-GGA) results for a geometry-optimized Li2SiCF structure.

As for the magnetic moment: 0.00 μB per cell. The energy relative to the elements, uncorrected comes out at -474 meV/atom. As for the calculated volume: 64.2 Å³/cell. The total energy is -22.71 eV/cell.

Lattice parameters (Å, degrees): 4.292 4.292 3.484 90.00 90.00 90.00
Space group P4/mmm (No. 123)
Inequivalent atoms, fractional coordinates:
Li 0.000 0.500 0.000 (multiplicity 2)
Si 0.000 0.000 0.500 (multiplicity 1)
C 0.000 0.000 0.000 (multiplicity 1)
F 0.500 0.500 0.500 (multiplicity 1)

=====

DFT (PBE-GGA) results for a geometry-optimized Sr2YZr structure.

Its formation energy is 0.493 eV/atom. As for the magnetic moment: 3.78 μB per cell. The calculation puts the energy above the most stable polymorph in this dataset at 240 meV per atom. As for the calculated volume: 287.8 Å³/cell. The total energy is -32.81 eV/cell.

Lattice parameters (Å, degrees): 7.104 12.353 3.549 90.00 112.48 90.00
Space group C2/m (No. 12)
Inequivalent atoms, fractional coordinates:
Sr 0.250 0.250 0.000 (multiplicity 4)
Y 0.000 0.000 0.500 (multiplicity 2)
Zr 0.000 0.500 0.500 (multiplicity 2)

=====

DFT (PBE-GGA) results for a geometry-optimized SrPF structure.

As for the magnetic moment: 0.00 μB per cell. The energy relative to the elements, uncorrected comes out at -2253 meV/atom. The calculation puts the energy above the most stable polymorph in this dataset at 80 meV per atom. As for the calculated volume: 126.6 Å³/cell. The total energy is -31.44 eV/cell.

Lattice parameters (Å, degrees): 4.321 3.847 7.653 90.00 95.71 90.00
Space group P2_1/m (No. 11)
Inequivalent atoms, fractional coordinates:
Sr 0.217 0.250 0.308 (multiplicity 2)
P 0.340 0.750 0.987 (multiplicity 2)
F 0.250 0.750 0.509 (multiplicity 2)

=====

DFT (PBE-GGA) results for a geometry-optimized ErLuMnGa structure.

Its formation energy is -0.177 eV/atom. As for the magnetic moment: 13.33 μB per cell. As for the calculated volume: 345.0 Å³/cell. The total energy is -87.95 eV/cell.

Lattice parameters (Å, degrees): 7.014 7.014 7.014 90.00 90.00 90.00
Space group F-43m (No. 216)
Inequivalent atoms, fractional coordinates:
Er 0.000 0.000 0.000 (multiplicity 4)
Lu 0.000 0.000 0.500 (multiplicity 4)
Mn 0.250 0.250 0.750 (multiplicity 4)
Ga 0.250 0.250 0.250 (multiplicity 4)

=====

DFT (PBE-GGA) results for a geometry-optimized V6GaMo5 structure.

Its formation energy is -0.148 eV/atom. As for the magnetic moment: 0.00 μB per cell. As for the calculated volume: 347.2 Å³/cell. The total energy is -227.35 eV/cell.

Lattice parameters (Å, degrees): 4.319 6.167 13.035 90.00 90.00 90.00
Space group Immm (No. 71)
Inequivalent atoms, fractional coordinates:
V 0.000 0.238 0.000 (multiplicity 4)
V 0.000 0.254 0.331 (multiplicity 8)
Ga 0.000 0.000 0.500 (multiplicity 2)
Mo 0.000 0.000 0.169 (multiplicity 4)
Mo 0.000 0.500 0.160 (multiplicity 4)
Mo 0.000 0.500 0.500 (multiplicity 2)

=====

DFT (PBE-GGA) results for a geometry-optimized CdPH6NO5 structure.

As for the magnetic moment: 0.00 μB per cell. As for the calculated volume: 537.9 Å³/cell. The total energy is -307.35 eV/cell.

Lattice parameters (Å, degrees): 18.343 5.882 4.985 90.00 90.00 90.00
Space group Pnma (No. 62)
Inequivalent atoms, fractional coordinates:
Cd 0.235 0.250 0.141 (multiplicity 4)
P 0.146 0.750 0.218 (multiplicity 4)
H 0.023 0.750 0.927 (multiplicity 4)
H 0.024 0.750 0.576 (multiplicity 4)
H 0.041 0.105 0.250 (multiplicity 8)
H 0.151 0.117 0.680 (multiplicity 8)
N 0.009 0.250 0.250 (multiplicity 4)
O 0.062 0.750 0.252 (multiplicity 4)
O 0.144 0.250 0.799 (multiplicity 4)
O 0.167 0.750 0.921 (multiplicity 4)
O 0.180 0.537 0.368 (multiplicity 8)

=====

DFT (PBE-GGA) results for a geometry-optimized NaZn2Cd9 structure.

Its formation energy is -0.024 eV/atom. As for the magnetic moment: 0.00 μB per cell. As for the calculated volume: 1082.6 Å³/cell. The total energy is -49.54 eV/cell.

Lattice parameters (Å, degrees): 11.905 11.905 7.639 90.00 90.00 90.00
Space group I4_1/amd (No. 141, origin choice 2)
Inequivalent atoms, fractional coordinates:
Na 0.000 0.250 0.375 (multiplicity 4)
Zn 0.000 0.000 0.000 (multiplicity 8)
Cd 0.000 0.250 0.875 (multiplicity 4)
Cd 0.121 0.050 0.678 (multiplicity 32)

=====

DFT (PBE-GGA) results for a geometry-optimized LiMg6Cu structure.

Its formation energy is 0.000 eV/atom. As for the magnetic moment: 0.00 μB per cell. The calculation puts the energy above the most stable polymorph in this dataset at 45 meV per atom. As for the calculated volume: 323.6 Å³/cell. The total energy is -31.15 eV/cell.

Lattice parameters (Å, degrees): 4.870 6.241 10.649 90.00 90.00 90.00
Space group Amm2 (No. 38)
Inequivalent atoms, fractional coordinates:
Li 0.000 0.000 0.000 (multiplicity 2)
Mg 0.000 0.000 0.504 (multiplicity 2)
Mg 0.000 0.237 0.760 (multiplicity 4)
Mg 0.500 0.000 0.330 (multiplicity 2)
Mg 0.500 0.244 0.076 (multiplicity 4)
Cu 0.500 0.000 0.831 (multiplicity 2)

=====

DFT (PBE-GGA) results for a geometry-optimized TaCoCl4 structure.

As for the magnetic moment: 1.99 μB per cell. The energy relative to the elements, uncorrected comes out at 1375 meV/atom. As for the calculated volume: 481.8 Å³/cell. The total energy is -72.39 eV/cell.

Lattice parameters (Å, degrees): 7.839 7.839 7.839 90.00 90.00 90.00
Space group F-43m (No. 216)
Inequivalent atoms, fractional coordinates:
Ta 0.000 0.000 0.000 (multiplicity 4)
Co 0.250 0.250 0.250 (multiplicity 4)
Cl 0.125 0.125 0.625 (multiplicity 16)

=====

DFT (PBE-GGA) results for a geometry-optimized Nd2Ga4Ge2Pt structure.

Its formation energy is -0.608 eV/atom. As for the magnetic moment: 0.00 μB per cell. As for the calculated volume: 365.2 Å³/cell. The total energy is -84.78 eV/cell.

Lattice parameters (Å, degrees): 6.234 6.234 9.399 90.00 90.00 90.00
Space group I4/mmm (No. 139)
Inequivalent atoms, fractional coordinates:
Nd 0.000 0.500 0.250 (multiplicity 4)
Ga 0.212 0.212 0.000 (multiplicity 8)
Ge 0.000 0.000 0.222 (multiplicity 4)
Pt 0.000 0.000 0.500 (multiplicity 2)

=====

DFT (PBE-GGA) results for a geometry-optimized InSbO2F structure.

As for the magnetic moment: 0.00 μB per cell. The energy relative to the elements, uncorrected comes out at -1224 meV/atom. As for the calculated volume: 80.0 Å³/cell. The total energy is -24.77 eV/cell.

Lattice parameters (Å, degrees): 4.178 4.178 4.581 90.00 90.00 90.00
Space group P4/mmm (No. 123)
Inequivalent atoms, fractional coordinates:
In 0.000 0.000 0.000 (multiplicity 1)
Sb 0.500 0.500 0.500 (multiplicity 1)
O 0.000 0.500 0.500 (multiplicity 2)
F 0.500 0.500 0.000 (multiplicity 1)

=====

DFT (PBE-GGA) results for a geometry-optimized PSe3 structure.

As for the magnetic moment: 0.00 μB per cell. The energy relative to the elements, uncorrected comes out at 320 meV/atom. The calculation puts the energy above the most stable polymorph in this dataset at 93 meV per atom. As for the calculated volume: 104.4 Å³/cell. The total energy is -14.58 eV/cell.

Lattice parameters (Å, degrees): 3.513 3.529 8.422 90.00 90.00 90.00
Space group Pmm2 (No. 25)
Inequivalent atoms, fractional coordinates:
P 0.000 0.000 0.000 (multiplicity 1)
Se 0.000 0.500 0.560 (multiplicity 1)
Se 0.500 0.000 0.652 (multiplicity 1)
Se 0.500 0.500 0.087 (multiplicity 1)

=====

DFT (PBE-GGA) results for a geometry-optimized TaHg2Sb structure.

As for the magnetic moment: 0.00 μB per cell. The energy relative to the elements, uncorrected comes out at 533 meV/atom. As for the calculated volume: 87.3 Å³/cell. The total energy is -14.45 eV/cell.

Lattice parameters (Å, degrees): 3.204 4.471 6.093 90.00 90.00 90.00
Space group Pmmm (No. 47)
Inequivalent atoms, fractional coordinates:
Ta 0.000 0.000 0.000 (multiplicity 1)
Hg 0.500 0.500 0.235 (multiplicity 2)
Sb 0.000 0.000 0.500 (multiplicity 1)

=====

DFT (PBE-GGA) results for a geometry-optimized Pm4CdCuAg2 structure.

Its formation energy is -0.247 eV/atom. As for the magnetic moment: 0.00 μB per cell. As for the calculated volume: 617.9 Å³/cell. The total energy is -95.07 eV/cell.

Lattice parameters (Å, degrees): 5.2687 5.2687 25.7011 90.00 90.00 120.00
Space group R-3m (No. 166, hexagonal axes)
Inequivalent atoms, fractional coordinates:
Pm 0.0000 0.0000 0.1186 (multiplicity 6)
Pm 0.0000 0.0000 0.3691 (multiplicity 6)
Cd 0.0000 0.0000 0.5000 (multiplicity 3)
Cu 0.0000 0.0000 0.0000 (multiplicity 3)
Ag 0.0000 0.0000 0.2442 (multiplicity 6)

=====

DFT (PBE-GGA) results for a geometry-optimized NiMo2Cl structure.

As for the magnetic moment: 0.00 μB per cell. The energy relative to the elements, uncorrected comes out at 304 meV/atom. The calculation puts the energy above the most stable polymorph in this dataset at 93 meV per atom. As for the calculated volume: 67.7 Å³/cell. The total energy is -28.08 eV/cell.

Lattice parameters (Å, degrees): 2.829 2.829 8.453 90.00 90.00 90.00
Space group P4mm (No. 99)
Inequivalent atoms, fractional coordinates:
Ni 0.000 0.000 0.000 (multiplicity 1)
Mo 0.000 0.000 0.564 (multiplicity 1)
Mo 0.500 0.500 0.807 (multiplicity 1)
Cl 0.500 0.500 0.367 (multiplicity 1)

=====

DFT (PBE-GGA) results for a geometry-optimized Na3Co4P4 structure.

Its formation energy is -0.522 eV/atom. As for the magnetic moment: 0.00 μB per cell. As for the calculated volume: 327.1 Å³/cell. The total energy is -119.53 eV/cell.

Lattice parameters (Å, degrees): 6.890 6.890 6.890 90.00 90.00 90.00
Space group I-43m (No. 217)
Inequivalent atoms, fractional coordinates:
Na 0.000 0.000 0.500 (multiplicity 6)
Co 0.135 0.135 0.135 (multiplicity 8)
P 0.184 0.184 0.816 (multiplicity 8)

=====

DFT (PBE-GGA) results for a geometry-optimized Tb2Co2P2C structure.

Its formation energy is -0.861 eV/atom. As for the magnetic moment: 0.00 μB per cell. As for the calculated volume: 211.6 Å³/cell. The total energy is -99.08 eV/cell.

Lattice parameters (Å, degrees): 10.549 3.770 6.612 90.00 126.41 90.00
Space group C2/m (No. 12)
Inequivalent atoms, fractional coordinates:
Tb 0.063 0.000 0.308 (multiplicity 4)
Co 0.192 0.500 0.076 (multiplicity 4)
P 0.176 0.500 0.717 (multiplicity 4)
C 0.000 0.500 0.000 (multiplicity 2)